No. 1
Below is a relaxed LiLu2As crystal, with properties calculated at the PBE-GGA level.

```
LiLu2As
1.0
0.860 -4.932 0.286
-3.525 -3.058 1.836
-2.426 -3.150 -3.056
Li Lu As
1 2 1
direct
0.250 0.250 0.250
0.000 0.000 0.000
0.750 0.750 0.750
0.500 0.500 0.500
```

Calculated values
uncorrected energy: -3.90 eV per atom
calculated volume: 89 Å³/cell
spin magnetization: 0.2 μB per formula unit
symmetry: F-43m, No. 216

No. 2
Below is a relaxed LiLuAs crystal, with properties calculated at the PBE-GGA level.

```
LiLuAs
1.0
0.147 -2.121 3.964
1.733 2.072 3.597
-2.694 1.313 3.355
Lu Li As
1 1 1
direct
0.750 0.750 0.750
0.250 0.250 0.250
0.000 0.000 0.000
```

Calculated values
uncorrected energy: -4.51 eV per atom
calculated volume: 64 Å³/cell
spin magnetization: 0.0 μB per formula unit
symmetry: F-43m, No. 216
polymorph energy (0 for the lowest one): 0.00 eV per formula unit

No. 3
Below is a relaxed Li2LuAs crystal, with properties calculated at the PBE-GGA level.

```
Li2LuAs
1.0
-3.096 -3.394 -0.892
-3.956 -0.271 2.485
-4.099 1.039 -2.005
Li Lu As
2 1 1
direct
0.000 0.000 0.000
0.750 0.750 0.750
0.250 0.250 0.250
0.500 0.500 0.500
```

Calculated values
uncorrected energy: -3.67 eV per atom
calculated volume: 72 Å³/cell
spin magnetization: 0.0 μB per formula unit
symmetry: F-43m, No. 216

No. 4
Below is a relaxed LiLuNiAs crystal, with properties calculated at the PBE-GGA level.

```
LiLuNiAs
1.0
-0.049 3.020 3.236
-1.717 4.011 -0.743
-3.831 1.152 1.893
As Ni Lu Li
1 1 1 1
direct
0.000 0.000 0.000
0.750 0.750 0.750
0.500 0.500 0.500
0.250 0.250 0.250
```

Calculated values
uncorrected energy: -4.64 eV per atom
calculated volume: 61 Å³/cell
spin magnetization: 0.0 μB per formula unit
symmetry: F-43m, No. 216
polymorph energy (0 for the lowest one): 0.00 eV per formula unit

No. 5
Below is a relaxed LiLuNiAs crystal, with properties calculated at the PBE-GGA level.

```
LiLuNiAs
1.0
4.256 -1.439 -0.081
0.904 -4.369 0.530
1.485 -2.425 -3.479
Lu As Ni Li
1 1 1 1
direct
0.250 0.250 0.250
0.000 0.000 0.000
0.750 0.750 0.750
0.500 0.500 0.500
```

Calculated values
uncorrected energy: -4.50 eV per atom
calculated volume: 64 Å³/cell
spin magnetization: 0.0 μB per formula unit
symmetry: F-43m, No. 216
polymorph energy (0 for the lowest one): 0.52 eV per formula unit

No. 6
Below is a relaxed LiLuAsO crystal, with properties calculated at the PBE-GGA level.

```
LiLuAsO
1.0
-2.452 1.042 2.574
-1.986 -3.058 -0.653
5.079 -4.742 6.757
As O Lu Li
2 2 2 2
direct
0.000 0.500 0.309
0.500 0.000 0.691
0.000 0.000 0.000
0.500 0.500 0.000
0.500 0.000 0.114
0.000 0.500 0.886
0.500 0.500 0.500
0.000 0.000 0.500
```

Calculated values
uncorrected energy: -5.91 eV per atom
calculated volume: 133 Å³/cell
spin magnetization: 0.0 μB per formula unit
symmetry: P4/nmm, No. 129
polymorph energy (0 for the lowest one): 0.00 eV per formula unit

Look up the calculated volume of the third one.
72 Å³/cell

Repeat the first record exactly.
Below is a relaxed LiLu2As crystal, with properties calculated at the PBE-GGA level.

```
LiLu2As
1.0
0.860 -4.932 0.286
-3.525 -3.058 1.836
-2.426 -3.150 -3.056
Li Lu As
1 2 1
direct
0.250 0.250 0.250
0.000 0.000 0.000
0.750 0.750 0.750
0.500 0.500 0.500
```

Calculated values
uncorrected energy: -3.90 eV per atom
calculated volume: 89 Å³/cell
spin magnetization: 0.2 μB per formula unit
symmetry: F-43m, No. 216

Look up the calculated volume of the fifth one.
64 Å³/cell

Which formula does entry 2 have?
LiLuAs